DFT (PBE+U) results for crystalline VB2HO at its relaxed geometry.

Output
As for the density of states at the Fermi level: 1.009 states/eV per atom. As for the uncorrected energy: -3.929 eV per atom. As for the space group: P4/mmm, No. 123.

Cell: 4.1715 4.1715 3.2869 Å, 90.00 90.00 90.00°
Last column: nearest neighbours and their distance in Å.
Element x y z (fractional)
1 V 0.0000 0.0000 0.0000  2 H 1.64
2 B 0.0000 0.5000 0.0000  2 V 2.09
3 B 0.5000 0.0000 0.0000  2 V 2.09
4 H 0.0000 0.0000 0.5000  2 V 1.64
5 O 0.5000 0.5000 0.5000  8 B 2.66, 4 H 2.95